## A
The following is a DFT calculation (PBE) of CaTa2Rh after structural relaxation.

## Properties
Total magnetic moment   0.000 μB/atom
SG   Pmmm (47)
DOS(E_F)   4.07 states/eV/cell

Cell lengths 2.9036, 4.7274, 5.5195 Å; angles 90.00, 90.00, 90.00 degrees
Last column: nearest neighbours and their distance in Å.
Positions (direct):
Ca1 0.5000 0.5000 0.2500  2 Rh 2.76, 2 Ca 2.90
Rh1 0.5000 0.5000 0.7500  2 Ca 2.76, 2 Rh 2.90, 8 Ta 3.07
Ta1 0.0000 0.0000 0.9885  4 Ta 2.63-2.90
Ta2 0.0000 0.0000 0.5115  4 Ta 2.63-2.90

## B
The following is a DFT calculation (PBE) of CaTa2Rh after structural relaxation.

## Properties
Total magnetic moment   0.000 μB/atom
SG   R-3m (166)
DOS(E_F)   3.86 states/eV/cell

Cell lengths 10.1160, 10.1160, 10.1160 Å; angles 17.08, 17.08, 17.08 degrees
Last column: nearest neighbours and their distance in Å.
Positions (direct):
Ca1 0.2500 0.2500 0.2500  6 Ca 3.00, 6 Ta 3.32
Rh1 0.7500 0.7500 0.7500  6 Ta 2.76, 6 Rh 3.00
Ta1 0.0115 0.0115 0.0115  3 Rh 2.76, 6 Ta 3.00
Ta2 0.4885 0.4885 0.4885  3 Rh 2.76, 6 Ta 3.00

## C
The following is a DFT calculation (PBE) of CaTa2Rh after structural relaxation.

## Properties
Total magnetic moment   0.000 μB/atom
SG   P2/m (10)
DOS(E_F)   4.18 states/eV/cell

Cell lengths 4.9401, 2.9391, 5.3237 Å; angles 78.11, 90.00, 90.00 degrees
Last column: nearest neighbours and their distance in Å.
Positions (direct):
Ca1 0.5000 0.2500 0.2500  2 Rh 2.76, 2 Ca 2.94, 4 Ta 3.05
Rh1 0.5000 0.7500 0.7500  2 Ca 2.76, 4 Ta 2.89, 2 Rh 2.94
Ta1 0.0000 0.9662 0.9814  5 Ta 2.68-3.00, 2 Rh 2.89
Ta2 0.0000 0.5338 0.5186  5 Ta 2.68-3.00, 2 Rh 2.89

## D
The following is a DFT calculation (PBE) of CaTa2Rh after structural relaxation.

## Properties
Total magnetic moment   0.000 μB/atom
SG   I-42d (122)
DOS(E_F)   9.24 states/eV/cell

Cell lengths 3.9203, 3.9203, 10.8669 Å; angles 79.61, 79.61, 90.00 degrees
Last column: nearest neighbours and their distance in Å.
Positions (direct):
Ca1 0.5000 0.5000 0.0000  4 Rh 2.77, 4 Ta 2.99
Ca2 0.2500 0.7500 0.5000  4 Rh 2.77, 4 Ta 2.99
Rh1 0.0000 0.0000 0.0000  4 Ca 2.77, 4 Ta 2.95
Rh2 0.7500 0.2500 0.5000  4 Ca 2.77, 4 Ta 2.95
Ta1 0.6387 0.1250 0.2500  4 Ta 2.70-2.85, 2 Rh 2.95, 2 Ca 2.99
Ta2 0.1113 0.6250 0.2500  4 Ta 2.70-2.85, 2 Rh 2.95, 2 Ca 2.99
Ta3 0.3750 0.3613 0.7500  4 Ta 2.70-2.85, 2 Rh 2.95, 2 Ca 2.99
Ta4 0.8750 0.8887 0.7500  4 Ta 2.70-2.85, 2 Rh 2.95, 2 Ca 2.99

In terms of stability, C leads; the second structure lies 0.058 eV/atom higher.

## A
The following is a DFT calculation (PBE) of CaTa2Rh after structural relaxation.

## Properties
Total magnetic moment   0.000 μB/atom
SG   Pmmm (47)
DOS(E_F)   3.39 states/eV/cell

Cell lengths 3.2018, 4.5686, 5.1500 Å; angles 90.00, 90.00, 90.00 degrees
Last column: nearest neighbours and their distance in Å.
Positions (direct):
Ca1 0.5000 0.0000 0.5000  4 Rh 2.79, 4 Ta 3.03
Rh1 0.0000 0.5000 0.5000  4 Ca 2.79, 4 Ta 3.03
Ta1 0.0000 0.0000 0.0000  4 Ta 2.79, 4 Ca 3.03
Ta2 0.5000 0.5000 0.0000  4 Ta 2.79, 4 Rh 3.03

## B
The following is a DFT calculation (PBE) of CaTa2Rh after structural relaxation.

## Properties
Total magnetic moment   0.000 μB/atom
SG   Immm (71)
DOS(E_F)   3.53 states/eV/cell

Cell lengths 6.0665, 6.0665, 4.8758 Å; angles 66.27, 66.27, 28.65 degrees
Last column: nearest neighbours and their distance in Å.
Positions (direct):
Ca1 0.7500 0.7500 0.7500  4 Rh 2.86, 2 Ca 3.00
Rh1 0.2500 0.2500 0.2500  4 Ta 2.76, 4 Ca 2.86, 2 Rh 3.00
Ta1 0.9662 0.9662 0.0338  2 Rh 2.76, 6 Ta 2.95-3.00
Ta2 0.5338 0.5338 0.4662  2 Rh 2.76, 6 Ta 2.95-3.00

In terms of stability, B leads; the second structure lies 0.186 eV/atom higher.

## A
The following is a DFT calculation (PBE) of Ca3TaRh after structural relaxation.

## Properties
Total magnetic moment   0.767 μB/atom
SG   Pm-3m (221)
DOS(E_F)   3.98 states/eV/cell

Cell lengths 5.3504, 5.3504, 5.3504 Å; angles 90.00, 90.00, 90.00 degrees
Last column: nearest neighbours and their distance in Å.
Positions (direct):
Ca1 0.0000 0.5000 0.0000  2 Rh 2.68
Ca2 0.0000 0.0000 0.5000  2 Rh 2.68
Ca3 0.5000 0.0000 0.0000  2 Rh 2.68
Rh1 0.0000 0.0000 0.0000  6 Ca 2.68
Ta1 0.5000 0.5000 0.5000  12 Ca 3.78

## B
The following is a DFT calculation (PBE) of Ca3TaRh after structural relaxation.

## Properties
Total magnetic moment   0.461 μB/atom
SG   Pm-3m (221)
DOS(E_F)   10.39 states/eV/cell

Cell lengths 5.4777, 5.4777, 5.4777 Å; angles 90.00, 90.00, 90.00 degrees
Last column: nearest neighbours and their distance in Å.
Positions (direct):
Ca1 0.0000 0.5000 0.0000  2 Ta 2.74
Ca2 0.0000 0.0000 0.5000  2 Ta 2.74
Ca3 0.5000 0.0000 0.0000  2 Ta 2.74
Rh1 0.5000 0.5000 0.5000  12 Ca 3.87
Ta1 0.0000 0.0000 0.0000  6 Ca 2.74

In terms of stability, A leads; the second structure lies 0.817 eV/atom higher.

## A
The following is a DFT calculation (PBE) of CaTa3Rh after structural relaxation.

## Properties
Total magnetic moment   0.000 μB/atom
SG   Pm-3m (221)
DOS(E_F)   2.73 states/eV/cell

Cell lengths 4.9133, 4.9133, 4.9133 Å; angles 90.00, 90.00, 90.00 degrees
Last column: nearest neighbours and their distance in Å.
Positions (direct):
Ca1 0.5000 0.5000 0.5000  12 Ta 3.47
Rh1 0.0000 0.0000 0.0000  6 Ta 2.46
Ta1 0.0000 0.5000 0.0000  2 Rh 2.46
Ta2 0.0000 0.0000 0.5000  2 Rh 2.46
Ta3 0.5000 0.0000 0.0000  2 Rh 2.46

## B
The following is a DFT calculation (PBE) of CaTa3Rh after structural relaxation.

## Properties
Total magnetic moment   0.000 μB/atom
SG   Pm-3m (221)
DOS(E_F)   7.87 states/eV/cell

Cell lengths 4.6412, 4.6412, 4.6412 Å; angles 90.00, 90.00, 90.00 degrees
Last column: nearest neighbours and their distance in Å.
Positions (direct):
Ca1 0.0000 0.0000 0.0000  6 Ta 2.32
Rh1 0.5000 0.5000 0.5000  12 Ta 3.28
Ta1 0.0000 0.5000 0.0000  2 Ca 2.32
Ta2 0.0000 0.0000 0.5000  2 Ca 2.32
Ta3 0.5000 0.0000 0.0000  2 Ca 2.32

In terms of stability, A leads; the second structure lies 1.656 eV/atom higher.

## A
The following is a DFT calculation (PBE) of CaTaTeRh2 after structural relaxation.

## Properties
Total magnetic moment   0.000 μB/atom
SG   P4/mmm (123)
DOS(E_F)   10.98 states/eV/cell

Cell lengths 4.6392, 5.3484, 4.6392 Å; angles 90.00, 90.00, 90.00 degrees
Last column: nearest neighbours and their distance in Å.
Positions (direct):
Ca1 0.0000 0.0000 0.0000  4 Rh 2.32
Te1 0.0000 0.5000 0.0000  2 Ca 2.67
Rh1 0.0000 0.0000 0.5000  2 Ca 2.32
Rh2 0.5000 0.0000 0.0000  2 Ca 2.32
Ta1 0.5000 0.5000 0.5000  4 Te 3.28, 8 Rh 3.54

## B
The following is a DFT calculation (PBE) of CaTaTeRh2 after structural relaxation.

## Properties
Total magnetic moment   0.000 μB/atom
SG   P4/mmm (123)
DOS(E_F)   3.41 states/eV/cell

Cell lengths 4.7002, 5.9593, 4.7002 Å; angles 90.00, 90.00, 90.00 degrees
Last column: nearest neighbours and their distance in Å.
Positions (direct):
Ca1 0.0000 0.5000 0.0000  2 Ta 2.98, 4 Te 3.32
Te1 0.5000 0.5000 0.5000  4 Ca 3.32
Rh1 0.0000 0.0000 0.5000  2 Ta 2.35
Rh2 0.5000 0.0000 0.0000  2 Ta 2.35
Ta1 0.0000 0.0000 0.0000  4 Rh 2.35

In terms of stability, B leads; the second structure lies 1.038 eV/atom higher.